The following is a DFT calculation (PBE-GGA) of a geometry-optimized Li2AlS structure.

The space group is I-42d (No. 122) and the conventional cell measures 4.1486, 4.1486 and 16.7080 Å, with angles of 90.00, 90.00 and 90.00 degrees. Symmetry generates all atoms from Li at (0.1951, 0.2500, 0.1250), Al at (0.0000, 0.0000, 0.5000) and S at (0.0000, 0.0000, 0.0000).

Its total magnetic moment is 0.000 Bohr magnetons per cell. The uncorrected formation energy is -0.307 eV per atom. The energy above the most stable polymorph in this dataset comes out at 0.0000 eV per atom. For the electronic total energy, the calculation gives -51.70 eV per cell.